VASP calculation (GGA-PBE) on an optimized crystal structure of Na2Hg8Pd.

- Crystal system: tetragonal

a = 4.7981 Å, b = 4.7981 Å, c = 11.8047 Å
α = 90.00°, β = 90.00°, γ = 90.00°
Last column: nearest neighbours and their distance in Å.
Element x y z (fractional)
Na: 0.0000 0.0000 0.3123  12 Hg 3.22-3.39
Na: 0.0000 0.0000 0.6877  12 Hg 3.22-3.39
Hg: 0.0000 0.5000 0.5000  4 Na 3.27, 8 Hg 3.28-3.39
Hg: 0.5000 0.0000 0.5000  4 Na 3.27, 8 Hg 3.28-3.39
Hg: 0.5000 0.5000 0.3109  8 Hg 3.20-3.28, 4 Na 3.39
Hg: 0.5000 0.5000 0.6891  8 Hg 3.20-3.28, 4 Na 3.39
Hg: 0.0000 0.5000 0.1309  2 Pd 2.85, 1 Hg 3.09
Hg: 0.5000 0.0000 0.1309  2 Pd 2.85, 1 Hg 3.09
Hg: 0.0000 0.5000 0.8691  2 Pd 2.85, 1 Hg 3.09
Hg: 0.5000 0.0000 0.8691  2 Pd 2.85, 1 Hg 3.09
Pd: 0.0000 0.0000 0.0000  8 Hg 2.85



VASP calculation (GGA-PBE) on an optimized crystal structure of NaHgPd4.

- Crystal system: cubic

a = 5.3562 Å, b = 5.3562 Å, c = 5.3562 Å
α = 60.00°, β = 60.00°, γ = 60.00°
Last column: nearest neighbours and their distance in Å.
Element x y z (fractional)
Na: 0.2500 0.2500 0.2500  12 Pd 3.14, 4 Hg 3.28
Hg: 0.0000 0.0000 0.0000  12 Pd 3.14, 4 Na 3.28
Pd: 0.6252 0.6252 0.1244  6 Pd 2.67-2.68
Pd: 0.6252 0.1244 0.6252  6 Pd 2.67-2.68
Pd: 0.6252 0.6252 0.6252  6 Pd 2.67-2.68
Pd: 0.1244 0.6252 0.6252  6 Pd 2.67-2.68



In the order shown, the computed ΔE_f values come out to -1.65; -0.47 eV/f.u..
In the order shown, the computed density of states at the Fermi level values come out to 0.37; 1.64 states/eV per atom.